DFT (GGA-PBE) results for an optimized crystal structure of TePbI2N.

Geometry as POSCAR:
```
TePbI2N
1.0
-4.419 -0.825 4.380
-0.067 -6.155 -1.227
2.994 -0.612 2.905
Pb I Te N
1 2 1 1
Direct
0.000 0.000 0.000 Pb
0.000 0.500 0.000 I
0.500 0.000 0.000 I
0.500 0.500 0.500 Te
0.000 0.000 0.500 N
```

Properties
- Energy: -2.702 eV/atom
- ΔE_f (raw): 0.9531 eV/atom
- ΔE to the lowest computed polymorph: 39.7 kJ/mol of atoms